# 1
An optimized crystal structure of AcSbS3, computed with GGA-PBE.

a = 7.5728 Å, b = 7.8310 Å, c = 10.8002 Å
α = 92.87°, β = 90.00°, γ = 90.00°
Sites, in units of the cell vectors:
S  0.4944  0.7701  0.7912
S  0.6236  0.3880  0.8832
S  0.9944  0.2299  0.7088
S  0.1236  0.6120  0.6168
S  0.5225  0.7387  0.4537
S  0.4775  0.2613  0.5463
S  0.3764  0.6120  0.1168
S  0.0056  0.7701  0.2912
S  0.8764  0.3880  0.3832
S  0.9775  0.7387  0.9537
S  0.5056  0.2299  0.2088
S  0.0225  0.2613  0.0463
Sb  0.1776  0.8679  0.1170
Sb  0.8224  0.1321  0.8830
Sb  0.3224  0.8679  0.6170
Sb  0.6776  0.1321  0.3830
Ac  0.2644  0.4713  0.3632
Ac  0.7356  0.5287  0.6368
Ac  0.7644  0.5287  0.1368
Ac  0.2356  0.4713  0.8632

Properties
- Mass density: 4620 kg/m³
- ΔE_f (raw): -1205.5 meV per atom
- Energy relative to the lowest polymorph listed for this composition: 4 meV/atom


# 2
An optimized crystal structure of Na2TeHS, computed with GGA-PBE.

a = 5.7068 Å, b = 5.7068 Å, c = 3.5222 Å
α = 90.00°, β = 90.00°, γ = 90.00°
Sites, in units of the cell vectors:
Na  0.5000  0.0000  0.9950
Na  0.0000  0.5000  0.9950
H  0.0000  0.0000  0.4434
Te  0.5000  0.5000  0.5068
S  0.0000  0.0000  0.0597

Properties
- Mass density: 2991 kg/m³
- Total energy: -16.3 eV for the cell shown


# 3
An optimized crystal structure of MnB3Ir, computed with GGA-PBE.

a = 3.7231 Å, b = 3.7231 Å, c = 3.7231 Å
α = 90.00°, β = 90.00°, γ = 90.00°
Sites, in units of the cell vectors:
B  0.0000  0.0000  0.5000
B  0.0000  0.5000  0.0000
B  0.5000  0.0000  0.0000
Ir  0.5000  0.5000  0.5000
Mn  0.0000  0.0000  0.0000

Properties
- Mass density: 8996 kg/m³
- Energy relative to the lowest polymorph listed for this composition: 133 meV/atom
- Energy relative to the elements: 1.1823 eV/atom


# 4
An optimized crystal structure of LiEr3Au2, computed with GGA-PBE.

a = 5.0267 Å, b = 5.0267 Å, c = 12.5720 Å
α = 90.00°, β = 90.00°, γ = 120.00°
Sites, in units of the cell vectors:
Er  0.0000  0.0000  0.2433
Er  0.6667  0.3333  0.5794
Er  0.6667  0.3333  0.0777
Er  0.3333  0.6667  0.9223
Er  0.0000  0.0000  0.7567
Er  0.3333  0.6667  0.4206
Au  0.0000  0.0000  0.5000
Au  0.3333  0.6667  0.1904
Au  0.0000  0.0000  0.0000
Au  0.6667  0.3333  0.8096
Li  0.3333  0.6667  0.6744
Li  0.6667  0.3333  0.3256

Properties
- Mass density: 10897 kg/m³
- Energy relative to the elements: -0.5946 eV/atom


# 5
An optimized crystal structure of DyScTl4, computed with GGA-PBE.

a = 4.8772 Å, b = 4.8802 Å, c = 7.6138 Å
α = 89.98°, β = 89.99°, γ = 90.02°
Sites, in units of the cell vectors:
Tl  0.0013  0.4973  0.7300
Tl  0.5013  0.9974  0.7303
Tl  0.5014  0.9972  0.2660
Tl  0.0013  0.4973  0.2662
Sc  0.0013  0.9973  0.4981
Dy  0.5013  0.4973  0.9982

Properties
- Mass density: 9392 kg/m³
- Energy relative to the elements: 0.0274 eV/atom


# 6
An optimized crystal structure of SmSiH, computed with GGA-PBE.

a = 4.1085 Å, b = 3.9186 Å, c = 6.2852 Å
α = 90.00°, β = 109.04°, γ = 90.00°
Sites, in units of the cell vectors:
H  0.8601  0.1154  0.1833
H  0.3701  0.6155  0.2023
Si  0.5579  0.1155  0.5780
Si  0.6722  0.6155  0.8076
Sm  0.2606  0.1155  0.9847
Sm  0.9695  0.6155  0.4009

Properties
- Mass density: 6230 kg/m³
- Energy relative to the lowest polymorph listed for this composition: 0 meV/atom